Density functional theory data (GGA-PBE) for crystalline Re2HgPt at its relaxed geometry.

## Properties
The energy of formation from the pure elements is 0.34 eV per atom. As for the calculated total energy: -0.5487 Ry per atom.

CIF file:
```
data_Re2HgPt
_chemical_formula_sum 'Re2 Hg1 Pt1'
_symmetry_space_group_name_H-M 'P 1'
_symmetry_Int_Tables_number 1
_symmetry_space_group_name_Hall 'P 1'
_cell_length_a 2.814
_cell_length_b 3.950
_cell_length_c 5.947
_cell_angle_alpha 90.00
_cell_angle_beta 90.00
_cell_angle_gamma 90.00
loop_
_atom_site_label
_atom_site_fract_x
_atom_site_fract_y
_atom_site_fract_z
_atom_site_occupancy
Hg1 0.000 0.000 0.503 1
Pt1 0.500 0.500 0.763 1
Re1 0.000 0.000 0.022 1
Re2 0.500 0.500 0.213 1
```